# 1
SrHgBr: optimized geometry, PBE-GGA.

Cell lengths 5.3007, 5.3007, 4.4787 Å; angles 90.00, 90.00, 120.00 degrees
Space group P3m1 (No. 156)
Inequivalent atoms, fractional coordinates:
1 Sr 0.0000 0.0000 0.0000 [1 per cell]
2 Hg 0.3333 0.6667 0.5020 [1 per cell]
3 Br 0.6667 0.3333 0.0032 [1 per cell]

Values from the calculation:
The value obtained for the formation energy from raw total energies is -958 meV per atom. For the spin magnetization, the calculation gives 0.0 μB per formula unit.

***

# 2
SrHgBr2: optimized geometry, PBE-GGA.

Cell lengths 4.577, 6.658, 9.665 Å; angles 90.00, 90.00, 90.00 degrees
Space group Immm (No. 71)
Inequivalent atoms, fractional coordinates:
1 Sr 0.000 0.000 0.000 [2 per cell]
2 Hg 0.000 0.000 0.500 [2 per cell]
3 Br 0.000 0.500 0.295 [4 per cell]

Values from the calculation:
The value obtained for the formation energy from raw total energies is -1388 meV per atom. For the spin magnetization, the calculation gives 0.0 μB per formula unit.

***

# 3
SrHgBr2: optimized geometry, PBE-GGA.

Cell lengths 3.869, 3.870, 10.141 Å; angles 90.00, 90.17, 90.00 degrees
Space group P2/m (No. 10)
Inequivalent atoms, fractional coordinates:
1 Sr 0.000 0.000 0.000 [1 per cell]
2 Hg 0.000 0.000 0.500 [1 per cell]
3 Br 0.497 0.500 0.830 [2 per cell]

Values from the calculation:
The value obtained for the formation energy from raw total energies is -1434 meV per atom. For the spin magnetization, the calculation gives 0.0 μB per formula unit.